1.
Ce2Pm3PaN6 | PBE | relaxed

The structure belongs to space group C2/m (No. 12); the cell edges are 6.199, 10.733 and 6.191 Å and the angles 90.00°, 109.48° and 90.00°. The inequivalent atoms are Ce at (0.000, 0.166, 0.000), Pm at (0.000, 0.000, 0.500), Pm at (0.000, 0.332, 0.500), Pa at (0.000, 0.500, 0.000), N at (0.236, 0.341, 0.230) and N at (0.242, 0.500, 0.769).

The total magnetization is 0.000 μB/atom.

***

2.
CePr3Pa2N6 | PBE | relaxed

The structure belongs to space group C2/m (No. 12); the cell edges are 6.225, 10.780 and 6.259 Å and the angles 90.00°, 109.34° and 90.00°. The inequivalent atoms are Ce at (0.000, 0.000, 0.000), Pr at (0.000, 0.165, 0.500), Pr at (0.000, 0.500, 0.500), Pa at (0.000, 0.333, 0.000), N at (0.223, 0.500, 0.210) and N at (0.244, 0.174, 0.212).

The total magnetization is 0.000 μB/atom.

***

3.
CePr2PaN4 | PBE | relaxed

The structure belongs to space group P2/m (No. 10); the cell edges are 6.232, 3.601 and 6.263 Å and the angles 90.00°, 109.28° and 90.00°. The inequivalent atoms are Ce at (0.000, 0.000, 0.000), Pr at (0.000, 0.500, 0.500), Pr at (0.500, 0.000, 0.500), Pa at (0.500, 0.500, 0.000), N at (0.255, 0.500, 0.218) and N at (0.275, 0.000, 0.787).

The total magnetization is 0.000 μB/atom.

***

4.
Ce3PrPa4N12 | PBE | relaxed

The structure belongs to space group Im-3 (No. 204); the cell edges are 8.576, 8.576 and 8.576 Å and the angles 90.00°, 90.00° and 90.00°. The inequivalent atoms are Ce at (0.000, 0.000, 0.500), Pr at (0.000, 0.000, 0.000), Pa at (0.250, 0.250, 0.250) and N at (0.000, 0.303, 0.184).

The total magnetization is 0.000 μB/atom.

***

5.
Ce3PrPa2N6 | PBE | relaxed

The structure belongs to space group C2/m (No. 12); the cell edges are 6.181, 10.691 and 6.181 Å and the angles 90.00°, 109.49° and 90.00°. The inequivalent atoms are Ce at (0.000, 0.000, 0.000), Ce at (0.000, 0.335, 0.000), Pr at (0.000, 0.500, 0.500), Pa at (0.000, 0.167, 0.500), N at (0.219, 0.000, 0.731) and N at (0.243, 0.179, 0.265).

The total magnetization is 0.000 μB/atom.

***

6.
CePr4Pa3N8 | PBE | relaxed

The structure belongs to space group R-3m (No. 166, hexagonal axes); the cell edges are 7.1822, 7.1822 and 17.7039 Å and the angles 90.00°, 90.00° and 120.00°. The inequivalent atoms are Ce at (0.0000, 0.0000, 0.0000), Pr at (0.0000, 0.0000, 0.5000), Pr at (0.0000, 0.5000, 0.5000), Pa at (0.0000, 0.5000, 0.0000), N at (0.0000, 0.0000, 0.2648) and N at (0.0136, 0.5068, 0.2635).

The total magnetization is 0.000 μB/atom.

***

7.
Ce2PrPaN4 | PBE | relaxed

The structure belongs to space group P2/m (No. 10); the cell edges are 6.202, 3.583 and 6.207 Å and the angles 90.00°, 109.38° and 90.00°. The inequivalent atoms are Ce at (0.000, 0.000, 0.000), Ce at (0.000, 0.500, 0.500), Pr at (0.500, 0.000, 0.500), Pa at (0.500, 0.500, 0.000), N at (0.252, 0.500, 0.222) and N at (0.267, 0.000, 0.777).

The total magnetization is 0.074 μB/atom.

***

8.
Ce2PaPtN4 | PBE | relaxed

The structure belongs to space group I-42m (No. 121); the cell edges are 6.085, 6.085 and 6.017 Å and the angles 90.00°, 90.00° and 90.00°. The inequivalent atoms are Ce at (0.000, 0.500, 0.000), Pa at (0.000, 0.000, 0.000), Pt at (0.000, 0.000, 0.500) and N at (0.197, 0.197, 0.732).

The total magnetization is 0.115 μB/atom.

***

9.
Ce2PuPaN5 | PBE | relaxed

The structure belongs to space group P4/mmm (No. 123); the cell edges are 4.064, 4.064 and 8.827 Å and the angles 90.00°, 90.00° and 90.00°. The inequivalent atoms are Ce at (0.000, 0.000, 0.222), Pu at (0.500, 0.500, 0.000), Pa at (0.500, 0.500, 0.500), N at (0.000, 0.000, 0.500), N at (0.000, 0.500, 0.000) and N at (0.500, 0.500, 0.269).

The total magnetization is 0.604 μB/atom.

***

10.
CePuPa4N8 | PBE | relaxed

The structure belongs to space group R3m (No. 160, hexagonal axes); the cell edges are 7.0420, 7.0420 and 16.8333 Å and the angles 90.00°, 90.00° and 120.00°. The inequivalent atoms are Ce at (0.0000, 0.0000, 0.0000), Pu at (0.0000, 0.0000, 0.6178), Pa at (0.0000, 0.0000, 0.2410), Pa at (0.1676, 0.3352, 0.4525), N at (0.0000, 0.0000, 0.3802), N at (0.0000, 0.0000, 0.8533), N at (0.0433, 0.5216, 0.3776) and N at (0.1715, 0.3430, 0.1913).

The total magnetization is 0.577 μB/atom.

***

11.
CePuPa2N4 | PBE | relaxed

The structure belongs to space group P2/m (No. 10); the cell edges are 6.079, 3.526 and 6.124 Å and the angles 90.00°, 109.65° and 90.00°. The inequivalent atoms are Ce at (0.000, 0.000, 0.000), Pu at (0.000, 0.500, 0.500), Pa at (0.500, 0.000, 0.500), Pa at (0.500, 0.500, 0.000), N at (0.269, 0.000, 0.754) and N at (0.272, 0.500, 0.259).

The total magnetization is 0.654 μB/atom.

***

12.
Ce3Pu2PaN6 | PBE | relaxed

The structure belongs to space group C2/m (No. 12); the cell edges are 6.110, 10.580 and 6.139 Å and the angles 90.00°, 109.33° and 90.00°. The inequivalent atoms are Ce at (0.000, 0.000, 0.000), Ce at (0.000, 0.332, 0.000), Pu at (0.000, 0.166, 0.500), Pa at (0.000, 0.500, 0.500), N at (0.240, 0.338, 0.734) and N at (0.245, 0.500, 0.264).

The total magnetization is 0.930 μB/atom.

***

Number 1: theoretical density 8.812 g/cm3, D(E_F) 0.636 states/eV/atom, ΔE_f (raw) -1546 meV/atom. Number 2: theoretical density 9.292 g/cm3, D(E_F) 0.525 states/eV/atom, ΔE_f (raw) -1535 meV/atom. Number 3: theoretical density 8.875 g/cm3, D(E_F) 0.578 states/eV/atom, ΔE_f (raw) -1510 meV/atom. Number 4: theoretical density 8.705 g/cm3, D(E_F) 0.775 states/eV/atom, ΔE_f (raw) -1385 meV/atom. Number 5: theoretical density 9.551 g/cm3, D(E_F) 0.909 states/eV/atom, ΔE_f (raw) -1555 meV/atom. Number 6: theoretical density 9.505 g/cm3, D(E_F) 0.467 states/eV/atom, ΔE_f (raw) -1541 meV/atom. Number 7: theoretical density 9.038 g/cm3, D(E_F) 0.892 states/eV/atom, ΔE_f (raw) -1514 meV/atom. Number 8: theoretical density 11.367 g/cm3, D(E_F) 0.931 states/eV/atom, ΔE_f (raw) -580 meV/atom. Number 9: theoretical density 9.402 g/cm3, D(E_F) 1.303 states/eV/atom, ΔE_f (raw) -1161 meV/atom. Number 10: theoretical density 9.787 g/cm3, D(E_F) 1.232 states/eV/atom, ΔE_f (raw) -1450 meV/atom. Number 11: theoretical density 12.121 g/cm3, D(E_F) 1.128 states/eV/atom, ΔE_f (raw) -1544 meV/atom. Number 12: theoretical density 10.850 g/cm3, D(E_F) 1.229 states/eV/atom, ΔE_f (raw) -1464 meV/atom.